No. 1
This record from Alexandria describes an optimized crystal structure of CaSn3C. The functional is GGA-PBE.

The structure belongs to space group Pm-3m (No. 221); the cell edges are 5.836, 5.836 and 5.836 Å and the angles 90.00°, 90.00° and 90.00°. The inequivalent atoms are Ca at (0.000, 0.000, 0.000), Sn at (0.000, 0.000, 0.500) and C at (0.500, 0.500, 0.500).

Its energy relative to the elements is 2014 meV/atom. The offset from the most stable computed form is 7.26 eV/f.u. For the total magnetic moment, the calculation gives 1.60 μB per cell.

No. 2
This record from Alexandria describes an optimized crystal structure of ScRuW2. The functional is GGA-PBE.

The structure belongs to space group Pmmm (No. 47); the cell edges are 2.825, 4.488 and 5.241 Å and the angles 90.00°, 90.00° and 90.00°. The inequivalent atoms are Sc at (0.000, 0.000, 0.000), Ru at (0.000, 0.000, 0.500) and W at (0.500, 0.500, 0.251).

Its energy relative to the elements is 223 meV/atom. The offset from the most stable computed form is 1.10 eV/f.u. For the total magnetic moment, the calculation gives 0.00 μB per cell.